Computed, not measured: a geometry-optimized Er5Ni3 structure at the PBE-GGA level of DFT.

Calculated values
* symmetry: P4/ncc, No. 130
* magnetic moment: 0.0 μB per formula unit
* E: -5.3704 eV/atom
* energy relative to the elements: -0.35 eV/atom

Lattice parameters (Å, degrees): 10.692 10.692 6.179 90.00 90.00 90.00
Positions (direct):
Er (0.043, 0.160, 0.120)
Er (0.043, 0.340, 0.620)
Er (0.160, 0.043, 0.620)
Er (0.160, 0.457, 0.120)
Er (0.250, 0.750, 0.000)
Er (0.250, 0.750, 0.500)
Er (0.340, 0.043, 0.120)
Er (0.340, 0.457, 0.620)
Er (0.457, 0.160, 0.620)
Er (0.457, 0.340, 0.120)
Er (0.543, 0.660, 0.880)
Er (0.543, 0.840, 0.380)
Er (0.660, 0.543, 0.380)
Er (0.660, 0.957, 0.880)
Er (0.750, 0.250, 0.000)
Er (0.750, 0.250, 0.500)
Er (0.840, 0.543, 0.880)
Er (0.840, 0.957, 0.380)
Er (0.957, 0.660, 0.380)
Er (0.957, 0.840, 0.880)
Ni (0.097, 0.597, 0.750)
Ni (0.097, 0.903, 0.250)
Ni (0.250, 0.250, 0.375)
Ni (0.250, 0.250, 0.875)
Ni (0.403, 0.597, 0.250)
Ni (0.403, 0.903, 0.750)
Ni (0.597, 0.097, 0.250)
Ni (0.597, 0.403, 0.750)
Ni (0.750, 0.750, 0.125)
Ni (0.750, 0.750, 0.625)
Ni (0.903, 0.097, 0.750)
Ni (0.903, 0.403, 0.250)

---

Computed, not measured: a geometry-optimized Er3Ni4 structure at the PBE-GGA level of DFT.

Calculated values
* symmetry: Cmcm, No. 63
* magnetic moment: 0.0 μB per formula unit
* E: -5.7187 eV/atom
* energy relative to the elements: -0.46 eV/atom

Lattice parameters (Å, degrees): 5.240 5.240 12.854 90.00 90.00 134.83
Positions (direct):
Er (0.007, 0.993, 0.750)
Er (0.290, 0.710, 0.602)
Er (0.290, 0.710, 0.898)
Er (0.710, 0.290, 0.102)
Er (0.710, 0.290, 0.398)
Er (0.993, 0.007, 0.250)
Ni (0.000, 0.000, 0.000)
Ni (0.000, 0.000, 0.500)
Ni (0.285, 0.715, 0.250)
Ni (0.424, 0.576, 0.088)
Ni (0.424, 0.576, 0.412)
Ni (0.576, 0.424, 0.588)
Ni (0.576, 0.424, 0.912)
Ni (0.715, 0.285, 0.750)

---

Computed, not measured: a geometry-optimized Er2Ni7 structure at the PBE-GGA level of DFT.

Calculated values
* symmetry: R-3m, No. 166
* magnetic moment: 1.5 μB per formula unit
* E: -5.9182 eV/atom
* energy relative to the elements: -0.41 eV/atom

Lattice parameters (Å, degrees): 12.347 12.347 12.347 22.96 22.96 22.96
Positions (direct):
Er (0.051, 0.051, 0.051)
Er (0.147, 0.147, 0.147)
Er (0.853, 0.853, 0.853)
Er (0.949, 0.949, 0.949)
Ni (0.000, 0.500, 0.500)
Ni (0.109, 0.611, 0.611)
Ni (0.278, 0.278, 0.278)
Ni (0.388, 0.388, 0.388)
Ni (0.389, 0.389, 0.891)
Ni (0.389, 0.891, 0.389)
Ni (0.500, 0.000, 0.500)
Ni (0.500, 0.500, 0.000)
Ni (0.500, 0.500, 0.500)
Ni (0.611, 0.109, 0.611)
Ni (0.611, 0.611, 0.109)
Ni (0.612, 0.612, 0.612)
Ni (0.722, 0.722, 0.722)
Ni (0.891, 0.389, 0.389)

---

Computed, not measured: a geometry-optimized ErNi4 structure at the PBE-GGA level of DFT.

Calculated values
* symmetry: Pm-3m, No. 221
* magnetic moment: 0.4 μB per formula unit
* E: -4.0386 eV/atom
* energy relative to the elements: 1.50 eV/atom

Lattice parameters (Å, degrees): 4.558 4.558 4.558 90.00 90.00 90.00
Positions (direct):
Er (0.000, 0.000, 0.000)
Ni (0.000, 0.000, 0.500)
Ni (0.000, 0.500, 0.000)
Ni (0.500, 0.000, 0.000)
Ni (0.500, 0.500, 0.500)

---

Computed, not measured: a geometry-optimized Er2Ni17 structure at the PBE-GGA level of DFT.

Calculated values
* symmetry: R-3m, No. 166
* magnetic moment: 7.2 μB per formula unit
* E: -5.8551 eV/atom
* energy relative to the elements: -0.20 eV/atom

Lattice parameters (Å, degrees): 6.234 6.234 6.234 83.01 83.01 83.01
Positions (direct):
Er (0.160, 0.160, 0.160)
Er (0.840, 0.840, 0.840)
Ni (0.000, 0.500, 0.500)
Ni (0.154, 0.154, 0.654)
Ni (0.154, 0.654, 0.154)
Ni (0.206, 0.500, 0.794)
Ni (0.206, 0.794, 0.500)
Ni (0.346, 0.846, 0.846)
Ni (0.401, 0.401, 0.401)
Ni (0.500, 0.000, 0.500)
Ni (0.500, 0.206, 0.794)
Ni (0.500, 0.500, 0.000)
Ni (0.500, 0.794, 0.206)
Ni (0.599, 0.599, 0.599)
Ni (0.654, 0.154, 0.154)
Ni (0.794, 0.206, 0.500)
Ni (0.794, 0.500, 0.206)
Ni (0.846, 0.346, 0.846)
Ni (0.846, 0.846, 0.346)

---

Computed, not measured: a geometry-optimized ErNpNi4 structure at the PBE-GGA level of DFT.

Calculated values
* symmetry: F-43m, No. 216
* magnetic moment: 3.8 μB per formula unit
* E: -7.0150 eV/atom
* energy relative to the elements: -0.24 eV/atom

Lattice parameters (Å, degrees): 5.033 5.033 5.033 60.00 60.00 60.00
Positions (direct):
Er (0.000, 0.000, 0.000)
Np (0.750, 0.750, 0.750)
Ni (0.375, 0.375, 0.375)
Ni (0.375, 0.375, 0.874)
Ni (0.375, 0.874, 0.375)
Ni (0.874, 0.375, 0.375)